{"formula": "ThUSe3", "functional": "PBE", "state": "optimized geometry", "lattice": [[-3.730, 3.730, 5.586], [3.730, -3.730, 5.586], [3.730, 3.730, -5.586]], "species": ["Se", "Se", "Se", "Se", "Se", "Se", "Th", "Th", "U", "U"], "fractional_positions": [[0.250, 0.250, 0.000], [0.750, 0.750, 0.000], [0.852, 0.352, 0.204], [0.352, 0.148, 0.500], [0.648, 0.852, 0.500], [0.148, 0.648, 0.796], [0.000, 0.000, 0.000], [0.500, 0.500, 0.000], [0.750, 0.250, 0.500], [0.250, 0.750, 0.500]], "energy_ev_per_atom": -6.769, "magnetic_moment_mub_per_fu": 4.00, "space_group": "No. 140"}

***

{"formula": "YTmTlSe3", "functional": "PBE", "state": "optimized geometry", "lattice": [[2.038, -7.738, 0.000], [2.038, 7.738, 0.000], [0.000, 0.000, 11.310]], "species": ["Se", "Se", "Se", "Se", "Se", "Se", "Tl", "Tl", "Tm", "Tm", "Y", "Y"], "fractional_positions": [[0.628, 0.372, 0.005], [0.995, 0.005, 0.250], [0.628, 0.372, 0.495], [0.372, 0.628, 0.505], [0.005, 0.995, 0.750], [0.372, 0.628, 0.995], [0.289, 0.711, 0.250], [0.711, 0.289, 0.750], [0.000, 0.000, 0.000], [0.000, 0.000, 0.500], [0.620, 0.380, 0.250], [0.380, 0.620, 0.750]], "energy_ev_per_atom": -5.279, "magnetic_moment_mub_per_fu": 0.15, "space_group": "No. 63"}

***

{"formula": "YTmTlSe3", "functional": "PBE", "state": "optimized geometry", "lattice": [[1.868, 3.148, -6.969], [-5.049, -3.990, 4.534], [-4.974, 9.818, 3.102]], "species": ["Se", "Se", "Se", "Se", "Se", "Se", "Tl", "Tl", "Tm", "Tm", "Y", "Y"], "fractional_positions": [[0.133, 0.867, 0.013], [0.490, 0.510, 0.250], [0.133, 0.867, 0.487], [0.867, 0.133, 0.513], [0.510, 0.490, 0.750], [0.867, 0.133, 0.987], [0.784, 0.216, 0.250], [0.216, 0.784, 0.750], [0.113, 0.887, 0.250], [0.887, 0.113, 0.750], [0.500, 0.500, 0.000], [0.500, 0.500, 0.500]], "energy_ev_per_atom": -5.277, "magnetic_moment_mub_per_fu": 0.06, "space_group": "No. 63"}

***

{"formula": "TmTlZnSe3", "functional": "PBE", "state": "optimized geometry", "lattice": [[-7.597, 1.530, -4.287], [-8.214, -2.160, -2.510], [-1.354, 4.113, 8.072]], "species": ["Se", "Se", "Se", "Se", "Se", "Se", "Tl", "Tl", "Tm", "Tm", "Zn", "Zn"], "fractional_positions": [[0.500, 0.500, 0.000], [0.341, 0.341, 0.216], [0.661, 0.661, 0.366], [0.000, 0.000, 0.500], [0.339, 0.339, 0.634], [0.659, 0.659, 0.784], [0.142, 0.142, 0.063], [0.858, 0.858, 0.937], [0.830, 0.830, 0.417], [0.170, 0.170, 0.583], [0.491, 0.491, 0.283], [0.509, 0.509, 0.717]], "energy_ev_per_atom": -4.079, "magnetic_moment_mub_per_fu": 0.00, "space_group": "No. 12"}

***

{"formula": "TmZrTlSe3", "functional": "PBE", "state": "optimized geometry", "lattice": [[1.946, -7.407, 0.000], [1.946, 7.407, 0.000], [0.000, 0.000, 10.918]], "species": ["Se", "Se", "Se", "Se", "Se", "Se", "Tl", "Tl", "Tm", "Tm", "Zr", "Zr"], "fractional_positions": [[0.368, 0.632, 0.010], [0.046, 0.954, 0.250], [0.368, 0.632, 0.490], [0.632, 0.368, 0.510], [0.954, 0.046, 0.750], [0.632, 0.368, 0.990], [0.733, 0.267, 0.250], [0.267, 0.733, 0.750], [0.416, 0.584, 0.250], [0.584, 0.416, 0.750], [0.000, 0.000, 0.000], [0.000, 0.000, 0.500]], "energy_ev_per_atom": -5.408, "magnetic_moment_mub_per_fu": 0.02, "space_group": "No. 63"}

***

{"formula": "TmZrTlSe3", "functional": "PBE", "state": "optimized geometry", "lattice": [[1.944, -7.454, 0.000], [1.944, 7.454, 0.000], [0.000, 0.000, 11.137]], "species": ["Se", "Se", "Se", "Se", "Se", "Se", "Tl", "Tl", "Tm", "Tm", "Zr", "Zr"], "fractional_positions": [[0.863, 0.137, 0.019], [0.530, 0.470, 0.250], [0.863, 0.137, 0.481], [0.137, 0.863, 0.519], [0.470, 0.530, 0.750], [0.137, 0.863, 0.981], [0.239, 0.761, 0.250], [0.761, 0.239, 0.750], [0.500, 0.500, 0.000], [0.500, 0.500, 0.500], [0.903, 0.097, 0.250], [0.097, 0.903, 0.750]], "energy_ev_per_atom": -5.444, "magnetic_moment_mub_per_fu": 0.13, "space_group": "No. 63"}

***

{"formula": "UTl4Se5", "functional": "PBE", "state": "optimized geometry", "lattice": [[5.445, -3.595, 4.261], [-3.342, 7.033, 0.326], [-6.151, -4.342, 2.011]], "species": ["Se", "Se", "Se", "Se", "Se", "Tl", "Tl", "Tl", "Tl", "U"], "fractional_positions": [[0.510, 0.510, 0.000], [0.899, 0.241, 0.142], [0.241, 0.099, 0.343], [0.756, 0.899, 0.657], [0.099, 0.756, 0.858], [0.407, 0.812, 0.220], [0.812, 0.592, 0.405], [0.187, 0.407, 0.595], [0.592, 0.187, 0.780], [0.987, 0.987, 0.000]], "energy_ev_per_atom": -4.456, "magnetic_moment_mub_per_fu": 0.00, "space_group": "No. 79"}

***

{"formula": "UTl2Se3", "functional": "PBE", "state": "optimized geometry", "lattice": [[5.912, 1.176, -5.400], [-6.510, 2.726, 3.961], [7.158, 4.337, 8.780]], "species": ["Se", "Se", "Se", "Se", "Se", "Se", "Tl", "Tl", "Tl", "Tl", "U", "U"], "fractional_positions": [[0.619, 0.381, 0.000], [0.002, 0.998, 0.250], [0.619, 0.381, 0.500], [0.381, 0.619, 0.500], [0.998, 0.002, 0.750], [0.381, 0.619, 0.000], [0.652, 0.348, 0.250], [0.352, 0.648, 0.250], [0.648, 0.352, 0.750], [0.348, 0.652, 0.750], [0.000, 0.000, 0.000], [0.000, 0.000, 0.500]], "energy_ev_per_atom": -5.151, "magnetic_moment_mub_per_fu": 2.00, "space_group": "No. 63"}

***

{"formula": "Zr3TlSe5", "functional": "PBE", "state": "optimized geometry", "lattice": [[6.192, 0.000, 0.000], [-3.096, 5.362, 0.000], [0.000, 0.000, 7.477]], "species": ["Se", "Se", "Se", "Se", "Se", "Tl", "Zr", "Zr", "Zr"], "fractional_positions": [[0.667, 0.333, 0.229], [0.333, 0.667, 0.229], [0.000, 0.000, 0.500], [0.667, 0.333, 0.771], [0.333, 0.667, 0.771], [0.000, 0.000, 0.000], [0.500, 0.000, 0.500], [0.000, 0.500, 0.500], [0.500, 0.500, 0.500]], "energy_ev_per_atom": -6.049, "magnetic_moment_mub_per_fu": 0.01, "space_group": "No. 191"}

***

{"formula": "ZrTl2Se3", "functional": "PBE", "state": "optimized geometry", "lattice": [[-7.215, -3.622, -13.294], [1.056, -3.729, 0.443], [-10.011, -2.121, 6.011]], "species": ["Se", "Se", "Se", "Se", "Se", "Se", "Se", "Se", "Se", "Se", "Se", "Se", "Tl", "Tl", "Tl", "Tl", "Tl", "Tl", "Tl", "Tl", "Zr", "Zr", "Zr", "Zr"], "fractional_positions": [[0.310, 0.250, 0.103], [0.554, 0.250, 0.112], [0.933, 0.750, 0.153], [0.433, 0.750, 0.347], [0.054, 0.250, 0.388], [0.810, 0.250, 0.397], [0.190, 0.750, 0.603], [0.946, 0.750, 0.612], [0.567, 0.250, 0.653], [0.067, 0.250, 0.847], [0.446, 0.750, 0.888], [0.690, 0.750, 0.897], [0.085, 0.250, 0.128], [0.778, 0.250, 0.137], [0.278, 0.250, 0.363], [0.585, 0.250, 0.372], [0.415, 0.750, 0.628], [0.722, 0.750, 0.637], [0.222, 0.750, 0.863], [0.915, 0.750, 0.872], [0.430, 0.750, 0.126], [0.930, 0.750, 0.374], [0.070, 0.250, 0.626], [0.570, 0.250, 0.874]], "energy_ev_per_atom": -4.837, "magnetic_moment_mub_per_fu": 0.00, "space_group": "No. 62"}

***

{"formula": "ZrTl2Se3", "functional": "PBE", "state": "optimized geometry", "lattice": [[8.144, 0.000, 0.000], [0.000, 3.952, 0.000], [-1.236, 0.000, 10.770]], "species": ["Se", "Se", "Se", "Se", "Se", "Se", "Tl", "Tl", "Tl", "Tl", "Zr", "Zr"], "fractional_positions": [[0.128, 0.250, 0.193], [0.552, 0.750, 0.211], [0.307, 0.750, 0.486], [0.693, 0.250, 0.514], [0.448, 0.250, 0.789], [0.872, 0.750, 0.807], [0.254, 0.750, 0.004], [0.934, 0.750, 0.344], [0.066, 0.250, 0.656], [0.746, 0.250, 0.996], [0.409, 0.250, 0.334], [0.591, 0.750, 0.666]], "energy_ev_per_atom": -4.852, "magnetic_moment_mub_per_fu": 0.01, "space_group": "No. 11"}

***

{"formula": "Tm3Se2", "functional": "PBE", "state": "optimized geometry", "lattice": [[-0.828, -1.077, 10.004], [0.774, 2.409, 9.774], [-3.032, 2.016, 9.417]], "species": ["Se", "Se", "Tm", "Tm", "Tm"], "fractional_positions": [[0.392, 0.392, 0.392], [0.608, 0.608, 0.608], [0.000, 0.000, 0.000], [0.212, 0.212, 0.212], [0.788, 0.788, 0.788]], "energy_ev_per_atom": -5.412, "magnetic_moment_mub_per_fu": 0.43, "space_group": "No. 166"}